Entry 1:
ScTa2CrSi | GGA-PBE | relaxed

abc: 4.658 4.658 4.734
angles: 90.00 90.00 90.00
Fractional positions:
Sc (0.000, 0.000, 0.000)
Ta (0.000, 0.500, 0.500)
Ta (0.500, 0.000, 0.500)
Cr (0.500, 0.500, 0.000)
Si (0.000, 0.000, 0.500)

Mass density in Mg/m³: 7.87
Energy relative to the elements, uncorrected in eV per formula unit: 5.05
Space-group type: P4/mmm (123)
D(E_F) in states/eV per atom: 1.55
Raw total energy in eV per cell: -40.03


Entry 2:
ScCr2SiTc | GGA-PBE | relaxed

abc: 4.575 4.575 4.963
angles: 90.00 90.00 90.00
Fractional positions:
Sc (0.000, 0.000, 0.000)
Cr (0.000, 0.500, 0.500)
Cr (0.500, 0.000, 0.500)
Si (0.500, 0.500, 0.000)
Tc (0.000, 0.000, 0.500)

Mass density in Mg/m³: 4.40
Energy relative to the elements, uncorrected in eV per formula unit: 4.88
Space-group type: P4/mmm (123)
D(E_F) in states/eV per atom: 0.67
Raw total energy in eV per cell: -36.49


Entry 3:
SmSc2Cr | GGA-PBE | relaxed

abc: 3.317 3.317 8.482
angles: 90.00 90.00 90.00
Fractional positions:
Sm (0.000, 0.000, 0.000)
Sc (0.500, 0.500, 0.310)
Sc (0.500, 0.500, 0.690)
Cr (0.000, 0.000, 0.500)

Mass density in Mg/m³: 5.20
Space-group type: P4/mmm (123)
D(E_F) in states/eV per atom: 1.49
Raw total energy in eV per cell: -26.29


Entry 4:
Sc2Cr2Sn | GGA-PBE | relaxed

abc: 6.743 6.743 4.119
angles: 90.00 90.00 90.00
Fractional positions:
Sc (0.179, 0.321, 0.000)
Sc (0.321, 0.821, 0.000)
Sc (0.679, 0.179, 0.000)
Sc (0.821, 0.679, 0.000)
Cr (0.101, 0.601, 0.500)
Cr (0.399, 0.101, 0.500)
Cr (0.601, 0.899, 0.500)
Cr (0.899, 0.399, 0.500)
Sn (0.000, 0.000, 0.500)
Sn (0.500, 0.500, 0.500)

Mass density in Mg/m³: 5.54
Space-group type: P4/mbm (127)
D(E_F) in states/eV per atom: 0.95
Raw total energy in eV per cell: -72.17


Entry 5:
Sc2CrSn | GGA-PBE | relaxed

abc: 7.620 7.620 5.640
angles: 90.00 90.00 90.00
Fractional positions:
Sc (0.199, 0.250, 0.125)
Sc (0.250, 0.699, 0.375)
Sc (0.250, 0.801, 0.875)
Sc (0.301, 0.250, 0.625)
Sc (0.699, 0.750, 0.625)
Sc (0.750, 0.199, 0.875)
Sc (0.750, 0.301, 0.375)
Sc (0.801, 0.750, 0.125)
Cr (0.000, 0.000, 0.000)
Cr (0.000, 0.500, 0.250)
Cr (0.500, 0.000, 0.750)
Cr (0.500, 0.500, 0.500)
Sn (0.000, 0.000, 0.500)
Sn (0.000, 0.500, 0.750)
Sn (0.500, 0.000, 0.250)
Sn (0.500, 0.500, 0.000)

Mass density in Mg/m³: 5.29
Space-group type: I-42d (122)
D(E_F) in states/eV per atom: 0.90
Raw total energy in eV per cell: -99.58


Entry 6:
ScCr3Sn | GGA-PBE | relaxed

abc: 4.678 4.678 4.678
angles: 90.00 90.00 90.00
Fractional positions:
Sc (0.000, 0.000, 0.000)
Cr (0.000, 0.000, 0.500)
Cr (0.000, 0.500, 0.000)
Cr (0.500, 0.000, 0.000)
Sn (0.500, 0.500, 0.500)

Mass density in Mg/m³: 5.18
Space-group type: Pm-3m (221)
D(E_F) in states/eV per atom: 1.05
Raw total energy in eV per cell: -31.68


Entry 7:
Sc2CrSn2 | GGA-PBE | relaxed

abc: 7.151 7.151 4.326
angles: 90.00 90.00 90.00
Fractional positions:
Sc (0.167, 0.333, 0.000)
Sc (0.333, 0.833, 0.000)
Sc (0.667, 0.167, 0.000)
Sc (0.833, 0.667, 0.000)
Cr (0.000, 0.000, 0.500)
Cr (0.500, 0.500, 0.500)
Sn (0.143, 0.643, 0.500)
Sn (0.357, 0.143, 0.500)
Sn (0.643, 0.857, 0.500)
Sn (0.857, 0.357, 0.500)

Mass density in Mg/m³: 5.70
Space-group type: P4/mbm (127)
D(E_F) in states/eV per atom: 0.96
Raw total energy in eV per cell: -63.63


Entry 8:
ScCr2Sn | GGA-PBE | relaxed

abc: 7.539 7.539 5.887
angles: 90.00 90.00 90.00
Fractional positions:
Sc (0.000, 0.000, 0.000)
Sc (0.000, 0.500, 0.250)
Sc (0.500, 0.000, 0.750)
Sc (0.500, 0.500, 0.500)
Cr (0.246, 0.750, 0.625)
Cr (0.250, 0.246, 0.375)
Cr (0.250, 0.254, 0.875)
Cr (0.254, 0.750, 0.125)
Cr (0.746, 0.250, 0.125)
Cr (0.750, 0.746, 0.875)
Cr (0.750, 0.754, 0.375)
Cr (0.754, 0.250, 0.625)
Sn (0.000, 0.000, 0.500)
Sn (0.000, 0.500, 0.750)
Sn (0.500, 0.000, 0.250)
Sn (0.500, 0.500, 0.000)

Mass density in Mg/m³: 5.31
Space-group type: I-42d (122)
D(E_F) in states/eV per atom: 0.86
Raw total energy in eV per cell: -108.07


Entry 9:
Sc3CrSn | GGA-PBE | relaxed

abc: 4.865 4.865 4.865
angles: 90.00 90.00 90.00
Fractional positions:
Sc (0.000, 0.000, 0.500)
Sc (0.000, 0.500, 0.000)
Sc (0.500, 0.000, 0.000)
Cr (0.000, 0.000, 0.000)
Sn (0.500, 0.500, 0.500)

Mass density in Mg/m³: 4.41
Space-group type: Pm-3m (221)
D(E_F) in states/eV per atom: 0.75
Raw total energy in eV per cell: -31.63


Entry 10:
ScCrSn3 | GGA-PBE | relaxed

abc: 5.058 5.058 5.058
angles: 90.00 90.00 90.00
Fractional positions:
Sc (0.000, 0.000, 0.000)
Cr (0.500, 0.500, 0.500)
Sn (0.000, 0.500, 0.500)
Sn (0.500, 0.000, 0.500)
Sn (0.500, 0.500, 0.000)

Mass density in Mg/m³: 5.82
Space-group type: Pm-3m (221)
D(E_F) in states/eV per atom: 0.77
Raw total energy in eV per cell: -26.45


Entry 11:
ScCr2Sn2 | GGA-PBE | relaxed

abc: 7.683 7.683 3.083
angles: 90.00 90.00 90.00
Fractional positions:
Sc (0.000, 0.000, 0.000)
Sc (0.500, 0.500, 0.000)
Cr (0.098, 0.402, 0.000)
Cr (0.402, 0.902, 0.000)
Cr (0.598, 0.098, 0.000)
Cr (0.902, 0.598, 0.000)
Sn (0.188, 0.688, 0.500)
Sn (0.312, 0.188, 0.500)
Sn (0.688, 0.812, 0.500)
Sn (0.812, 0.312, 0.500)

Mass density in Mg/m³: 7.05
Space-group type: P4/mbm (127)
D(E_F) in states/eV per atom: 1.11
Raw total energy in eV per cell: -65.45


Entry 12:
ScCr3Sn | GGA-PBE | relaxed

abc: 5.031 5.031 5.031
angles: 90.00 90.00 90.00
Fractional positions:
Sc (0.000, 0.000, 0.000)
Cr (0.000, 0.500, 0.500)
Cr (0.500, 0.000, 0.500)
Cr (0.500, 0.500, 0.000)
Sn (0.500, 0.500, 0.500)

Mass density in Mg/m³: 4.17
Space-group type: Pm-3m (221)
D(E_F) in states/eV per atom: 0.87
Raw total energy in eV per cell: -32.85


Entry 13:
ScVCrSn2 | GGA-PBE | relaxed

abc: 5.103 5.103 4.330
angles: 90.00 90.00 90.00
Fractional positions:
Sc (0.000, 0.000, 0.000)
V (0.500, 0.500, 0.500)
Cr (0.500, 0.500, 0.000)
Sn (0.000, 0.500, 0.500)
Sn (0.500, 0.000, 0.500)

Mass density in Mg/m³: 5.67
Space-group type: P4/mmm (123)
D(E_F) in states/eV per atom: 0.60
Raw total energy in eV per cell: -30.93


Entry 14:
SrScCr | GGA-PBE | relaxed

abc: 3.632 3.632 12.634
angles: 90.00 90.00 90.00
Fractional positions:
Sr (0.000, 0.000, 0.000)
Sr (0.500, 0.500, 0.500)
Sc (0.000, 0.000, 0.281)
Sc (0.500, 0.500, 0.781)
Cr (0.000, 0.000, 0.677)
Cr (0.500, 0.500, 0.177)

Mass density in Mg/m³: 3.68
Space-group type: I4mm (107)
D(E_F) in states/eV per atom: 1.20
Raw total energy in eV per cell: -32.27


Entry 15:
SrScCr | GGA-PBE | relaxed

abc: 7.388 7.388 7.388
angles: 90.00 90.00 90.00
Fractional positions:
Sr (0.000, 0.000, 0.000)
Sr (0.000, 0.500, 0.500)
Sr (0.500, 0.000, 0.500)
Sr (0.500, 0.500, 0.000)
Sc (0.250, 0.250, 0.750)
Sc (0.250, 0.750, 0.250)
Sc (0.750, 0.250, 0.250)
Sc (0.750, 0.750, 0.750)
Cr (0.250, 0.250, 0.250)
Cr (0.250, 0.750, 0.750)
Cr (0.750, 0.250, 0.750)
Cr (0.750, 0.750, 0.250)

Mass density in Mg/m³: 3.04
Space-group type: F-43m (216)
D(E_F) in states/eV per atom: 1.48
Raw total energy in eV per cell: -53.73


Entry 16:
SrSc3Cr | GGA-PBE | relaxed

abc: 5.124 5.124 5.124
angles: 90.00 90.00 90.00
Fractional positions:
Sr (0.000, 0.000, 0.000)
Sc (0.000, 0.500, 0.500)
Sc (0.500, 0.000, 0.500)
Sc (0.500, 0.500, 0.000)
Cr (0.500, 0.500, 0.500)

Mass density in Mg/m³: 3.39
Space-group type: Pm-3m (221)
D(E_F) in states/eV per atom: 1.06
Raw total energy in eV per cell: -28.72


Entry 17:
Sr4ScCr | GGA-PBE | relaxed

abc: 7.126 7.126 7.126
angles: 60.00 60.00 60.00
Fractional positions:
Sr (0.125, 0.125, 0.125)
Sr (0.125, 0.125, 0.624)
Sr (0.125, 0.624, 0.125)
Sr (0.624, 0.125, 0.125)
Sc (0.500, 0.500, 0.500)
Cr (0.750, 0.750, 0.750)

Mass density in Mg/m³: 2.90
Space-group type: F-43m (216)
D(E_F) in states/eV per atom: 1.73
Raw total energy in eV per cell: -17.43


Entry 18:
Sr3ScCr | GGA-PBE | relaxed

abc: 6.164 6.164 6.164
angles: 90.00 90.00 90.00
Fractional positions:
Sr (0.000, 0.000, 0.500)
Sr (0.000, 0.500, 0.000)
Sr (0.500, 0.000, 0.000)
Sc (0.000, 0.000, 0.000)
Cr (0.500, 0.500, 0.500)

Mass density in Mg/m³: 2.55
Space-group type: Pm-3m (221)
D(E_F) in states/eV per atom: 3.89
Raw total energy in eV per cell: -12.61


Entry 19:
SrSc3Cr | GGA-PBE | relaxed

abc: 5.028 5.028 5.028
angles: 90.00 90.00 90.00
Fractional positions:
Sr (0.000, 0.000, 0.000)
Sc (0.000, 0.000, 0.500)
Sc (0.000, 0.500, 0.000)
Sc (0.500, 0.000, 0.000)
Cr (0.500, 0.500, 0.500)

Mass density in Mg/m³: 3.59
Space-group type: Pm-3m (221)
D(E_F) in states/eV per atom: 2.19
Raw total energy in eV per cell: -20.41


Entry 20:
SrScCr | GGA-PBE | relaxed

abc: 5.265 5.265 3.560
angles: 90.00 90.00 120.00
Fractional positions:
Sr (0.000, 0.000, 0.000)
Sc (0.333, 0.667, 0.537)
Cr (0.667, 0.333, 0.442)

Mass density in Mg/m³: 3.59
Space-group type: P3m1 (156)
D(E_F) in states/eV per atom: 1.59
Raw total energy in eV per cell: -15.47